(1)
Compound: Cs2HfCuO4
Source: the Alexandria database
Functional: PBE
Structure: relaxed

Output
Crystal system: orthorhombic
SG: No. 70
Formation energy (no corrections) in eV/f.u.: -14.3
D(E_F) in states/eV/f.u.: 3.92

```
Cs2HfCuO4
1.0
5.312 0.000 0.000
2.656 6.453 0.000
2.656 0.000 11.355
Cs Hf Cu O
4 2 2 8
Direct
0.178 0.000 0.645
0.822 0.000 0.355
0.572 0.500 0.855
0.928 0.500 0.145
0.750 0.500 0.500
0.000 0.000 0.000
0.250 0.500 0.500
0.500 0.000 0.000
0.288 0.824 0.085
0.196 0.176 0.915
0.889 0.824 0.915
0.628 0.176 0.085
0.462 0.676 0.415
0.554 0.324 0.585
0.861 0.676 0.585
0.122 0.324 0.415
```

=====

(2)
Compound: Tb8Rh5Au
Source: the Alexandria database
Functional: PBE
Structure: relaxed

Output
Crystal system: tetragonal
SG: No. 82
ΔE_f in kcal/mol of atoms: -17.40
D(E_F) in states/eV/f.u.: 2.79

```
Tb8Rh5Au
1.0
7.094 0.000 -2.504
-3.509 6.163 -2.509
-0.076 0.000 7.522
Tb Rh Au
8 5 1
Direct
0.117 0.754 0.003
0.997 0.114 0.751
0.739 0.249 0.372
0.628 0.367 0.877
0.510 0.633 0.261
0.637 0.886 0.883
0.249 0.246 0.363
0.123 0.751 0.490
0.006 0.377 0.123
0.877 0.883 0.254
0.746 0.623 0.629
0.500 0.000 0.500
0.371 0.117 0.994
0.250 0.500 0.750
```

=====

(3)
Compound: Pm2Zn3Cd5
Source: the Alexandria database
Functional: PBE
Structure: relaxed

Output
Crystal system: orthorhombic
SG: No. 72
ΔE_f in kcal/mol of atoms: -5.07
D(E_F) in states/eV/f.u.: 5.26

```
Pm2Zn3Cd5
1.0
-5.218 3.258 -0.060
-3.142 0.617 -8.564
-7.153 -5.634 0.834
Pm Zn Cd
4 6 10
Direct
0.130 0.614 0.126
0.630 0.126 0.614
0.870 0.386 0.874
0.370 0.874 0.386
0.375 0.484 0.765
0.875 0.765 0.484
0.625 0.516 0.235
0.125 0.235 0.516
0.250 0.000 0.000
0.750 0.000 0.000
0.387 0.257 0.969
0.887 0.969 0.257
0.613 0.743 0.031
0.113 0.031 0.743
0.501 0.749 0.749
0.499 0.251 0.251
0.750 0.500 0.500
0.250 0.500 0.500
0.999 0.251 0.251
0.001 0.749 0.749
```

=====

(4)
Compound: NbNi5Rh4
Source: the Alexandria database
Functional: PBE
Structure: relaxed

Output
Crystal system: monoclinic
SG: No. 12
ΔE_f in kcal/mol of atoms: 1.32
D(E_F) in states/eV/f.u.: 15.33

```
NbNi5Rh4
1.0
0.057 0.750 -2.573
8.610 0.710 0.399
-1.187 -6.054 -0.394
Nb Ni Rh
1 5 4
Direct
0.500 0.000 0.000
0.819 0.441 0.638
0.787 0.897 0.575
0.213 0.103 0.425
0.500 0.500 0.000
0.181 0.559 0.362
0.384 0.704 0.769
0.090 0.787 0.181
0.616 0.296 0.231
0.910 0.213 0.819
```

=====

(5)
Compound: U2Al6ZnFe3
Source: the Alexandria database
Functional: PBE
Structure: relaxed

Output
Crystal system: monoclinic
SG: No. 12
ΔE_f in kcal/mol of atoms: -2.72
D(E_F) in states/eV/f.u.: 7.96

```
U2Al6ZnFe3
1.0
-5.387 -0.695 2.427
-0.642 -6.021 -3.149
2.456 0.757 5.448
U Al Zn Fe
2 6 1 3
Direct
0.308 0.644 0.288
0.692 0.356 0.712
0.835 0.313 0.202
0.165 0.687 0.798
0.805 0.788 0.576
0.195 0.212 0.424
0.165 0.111 0.798
0.835 0.889 0.202
0.500 0.000 0.000
0.000 0.500 0.000
0.500 0.500 0.500
0.500 0.000 0.500
```

=====

(6)
Compound: PmCd2Pb2
Source: the Alexandria database
Functional: PBE
Structure: relaxed

Output
Crystal system: orthorhombic
SG: No. 63
ΔE_f in kcal/mol of atoms: -6.66
D(E_F) in states/eV/f.u.: 2.65

```
PmCd2Pb2
1.0
4.608 0.000 0.000
0.000 4.660 0.000
-2.304 0.000 12.382
Pm Cd Pb
2 4 4
Direct
0.356 0.250 0.712
0.644 0.750 0.288
0.043 0.750 0.086
0.460 0.750 0.921
0.957 0.250 0.914
0.540 0.250 0.079
0.749 0.250 0.499
0.251 0.750 0.501
0.867 0.750 0.735
0.133 0.250 0.265
```

=====

(7)
Compound: RbHfGa2I8
Source: the Alexandria database
Functional: PBE
Structure: relaxed

Output
Crystal system: triclinic
SG: No. 2
Formation energy (no corrections) in eV/f.u.: -8.3
D(E_F) in states/eV/f.u.: 1.82

```
RbHfGa2I8
1.0
7.594 -0.117 -0.004
-0.118 6.798 0.000
0.008 0.020 10.600
Rb Hf Ga I
1 1 2 8
Direct
0.000 0.000 0.500
0.000 0.000 0.000
0.500 0.500 0.778
0.500 0.500 0.222
0.142 0.761 0.194
0.679 0.765 0.999
0.857 0.238 0.193
0.858 0.239 0.806
0.321 0.235 0.001
0.143 0.762 0.807
0.514 0.753 0.500
0.486 0.247 0.500
```

=====

(8)
Compound: CaGaCl4
Source: the Alexandria database
Functional: PBE
Structure: relaxed

Output
Crystal system: tetragonal
SG: No. 82
Formation energy (no corrections) in eV/f.u.: -8.6
D(E_F) in states/eV/f.u.: 2.23

```
CaGaCl4
1.0
-1.163 -2.892 6.403
-0.902 -6.375 -3.043
5.063 3.877 -1.290
Ca Ga Cl
1 1 4
Direct
0.750 0.250 0.500
0.500 0.500 0.000
0.410 0.856 0.252
0.841 0.395 0.252
0.144 0.159 0.748
0.605 0.590 0.748
```

=====

(9)
Compound: AgAu5
Source: the Alexandria database
Functional: PBE
Structure: relaxed

Output
Relative energy among the computed polymorphs in eV per atom: 0.0034
Crystal system: hexagonal
SG: No. 189
ΔE_f in kcal/mol of atoms: -0.44
D(E_F) in states/eV/f.u.: 1.52

```
AgAu5
1.0
-4.221 1.738 -2.177
-0.004 -1.217 4.909
1.299 4.578 1.136
Ag Au
1 5
Direct
0.667 0.667 0.500
0.001 0.001 0.000
0.667 0.333 0.000
0.333 0.667 0.000
0.333 0.000 0.500
0.000 0.333 0.500
```

=====

(10)
Compound: Al2Zn4Cu5
Source: the Alexandria database
Functional: PBE
Structure: relaxed

Output
Crystal system: orthorhombic
SG: No. 55
ΔE_f in kcal/mol of atoms: -2.25
D(E_F) in states/eV/f.u.: 3.07

```
Al2Zn4Cu5
1.0
2.702 0.000 0.000
0.000 6.449 0.000
0.000 0.000 17.280
Al Zn Cu
4 8 10
Direct
0.500 0.393 0.280
0.500 0.607 0.720
0.500 0.893 0.220
0.500 0.107 0.780
0.500 0.322 0.539
0.500 0.678 0.461
0.500 0.822 0.961
0.500 0.178 0.039
0.500 0.463 0.874
0.500 0.537 0.126
0.500 0.963 0.626
0.500 0.037 0.374
0.000 0.500 0.000
0.000 0.000 0.500
0.000 0.215 0.172
0.000 0.785 0.828
0.000 0.715 0.328
0.000 0.285 0.672
0.000 0.363 0.406
0.000 0.637 0.594
0.000 0.863 0.094
0.000 0.137 0.906
```

=====

(11)
Compound: CoPb2Au
Source: the Alexandria database
Functional: PBE
Structure: relaxed

Output
Relative energy among the computed polymorphs in eV per atom: 0.1288
Crystal system: orthorhombic
SG: No. 65
ΔE_f in kcal/mol of atoms: 8.00
D(E_F) in states/eV/f.u.: 3.67

```
CoPb2Au
1.0
3.384 0.167 0.000
-0.172 3.384 0.000
0.000 0.000 7.470
Au Co Pb
1 1 2
Direct
0.500 0.500 0.250
0.500 0.500 0.750
0.000 0.000 0.972
0.000 0.000 0.528
```

=====

(12)
Compound: SrZrCo2
Source: the Alexandria database
Functional: PBE
Structure: relaxed

Output
Relative energy among the computed polymorphs in eV per atom: 0.5525
Crystal system: tetragonal
SG: No. 119
ΔE_f in kcal/mol of atoms: 14.21
D(E_F) in states/eV/f.u.: 6.06

```
SrZrCo2
1.0
5.714 0.006 0.000
3.087 4.808 0.000
-4.400 -2.407 2.737
Co Sr Zr
2 1 1
Direct
0.000 0.000 0.000
0.250 0.750 0.500
0.500 0.500 0.000
0.750 0.250 0.500
```